Record 1
DFT (PBE) results for a relaxed FeWCl3 crystal.

Lattice parameters (Å, degrees): 4.885 4.885 4.885 90.00 90.00 90.00
Fractional positions:
Fe  0.000  0.000  0.000
W  0.500  0.500  0.500
Cl  0.000  0.500  0.500
Cl  0.500  0.000  0.500
Cl  0.500  0.500  0.000

Values from the calculation:
raw formation energy	3.4	eV/f.u.
DOS(E_F)	16.337	states/eV/f.u.



Record 2
DFT (PBE) results for a relaxed FeWCl crystal.

Lattice parameters (Å, degrees): 4.137 4.137 4.137 60.00 60.00 60.00
Fractional positions:
Fe  0.000  0.000  0.000
W  0.250  0.250  0.250
Cl  0.500  0.500  0.500

Values from the calculation:
relative energy among the computed polymorphs	17.15	kcal/mol of atoms
raw formation energy	3.4	eV/f.u.
DOS(E_F)	2.193	states/eV/f.u.



Record 3
DFT (PBE) results for a relaxed FeW2Cl crystal.

Lattice parameters (Å, degrees): 4.306 4.306 4.306 60.00 60.00 60.00
Fractional positions:
Fe  0.000  0.000  0.000
W  0.250  0.250  0.250
W  0.750  0.750  0.750
Cl  0.500  0.500  0.500

Values from the calculation:
relative energy among the computed polymorphs	12.65	kcal/mol of atoms
raw formation energy	3.8	eV/f.u.
DOS(E_F)	4.843	states/eV/f.u.



Record 4
DFT (PBE) results for a relaxed FeWCl crystal.

Lattice parameters (Å, degrees): 4.226 4.226 2.826 90.00 90.00 120.00
Fractional positions:
Fe  0.000  0.000  0.000
W  0.667  0.333  0.500
Cl  0.333  0.667  0.500

Values from the calculation:
relative energy among the computed polymorphs	9.21	kcal/mol of atoms
raw formation energy	2.4	eV/f.u.
DOS(E_F)	3.435	states/eV/f.u.



Record 5
DFT (PBE) results for a relaxed Fe2WCl crystal.

Lattice parameters (Å, degrees): 4.886 4.886 2.744 90.00 90.00 118.68
Fractional positions:
Fe  0.000  0.500  0.000
Fe  0.500  0.000  0.000
W  0.000  0.000  0.500
Cl  0.500  0.500  0.500

Values from the calculation:
relative energy among the computed polymorphs	9.47	kcal/mol of atoms
raw formation energy	2.9	eV/f.u.
DOS(E_F)	3.551	states/eV/f.u.



Record 6
DFT (PBE) results for a relaxed FeW2Cl crystal.

Lattice parameters (Å, degrees): 3.153 3.014 7.155 90.00 90.04 90.00
Fractional positions:
Fe  0.000  0.000  0.000
W  0.500  0.500  0.807
W  0.999  0.000  0.588
Cl  0.997  0.500  0.299

Values from the calculation:
relative energy among the computed polymorphs	0.00	kcal/mol of atoms
raw formation energy	1.6	eV/f.u.
DOS(E_F)	4.821	states/eV/f.u.



Record 7
DFT (PBE) results for a relaxed FeWCl2 crystal.

Lattice parameters (Å, degrees): 4.610 4.610 4.610 127.71 127.71 77.09
Fractional positions:
Fe  0.000  0.000  0.000
W  0.500  0.500  0.000
Cl  0.250  0.750  0.500
Cl  0.750  0.250  0.500

Values from the calculation:
relative energy among the computed polymorphs	27.47	kcal/mol of atoms
raw formation energy	4.2	eV/f.u.
DOS(E_F)	3.992	states/eV/f.u.



Record 8
DFT (PBE) results for a relaxed Fe2WCl crystal.

Lattice parameters (Å, degrees): 4.289 4.289 4.289 60.00 60.00 60.00
Fractional positions:
Fe  0.250  0.250  0.250
Fe  0.750  0.750  0.750
W  0.000  0.000  0.000
Cl  0.500  0.500  0.500

Values from the calculation:
relative energy among the computed polymorphs	17.78	kcal/mol of atoms
raw formation energy	4.4	eV/f.u.
DOS(E_F)	3.448	states/eV/f.u.



Q: The lowest DOS(E_F) belongs to which entry?
A: number 2



Q: Look up the raw formation energy of the third one.
A: 3.8 eV/f.u.